Record 1
# GGA-PBEsol Hg2TePb, optimized geometry
# E above lowest polymorph, meV per atom: 126
# ΔE_f (raw), eV per atom: 0.036
# DOS(E_F), states/eV per cell: 1.572
# Magnetization, μB per cell: 0.0
# Crystal system: orthorhombic
# Final energy, eV for the cell shown: -8.5
data_Hg2TePb
_chemical_formula_sum 'Hg2 Te1 Pb1'
_cell_length_a 6.379
_cell_length_b 6.379
_cell_length_c 3.107
_cell_angle_alpha 90.00
_cell_angle_beta 90.00
_cell_angle_gamma 120.68
_symmetry_space_group_name_H-M 'P 1'
_symmetry_Int_Tables_number 1
loop_
_symmetry_equiv_pos_as_xyz
'x,y,z'
loop_
_atom_site_label
_atom_site_fract_x
_atom_site_fract_y
_atom_site_fract_z
Hg1 0.000 0.500 0.000
Hg2 0.500 0.000 0.000
Te1 0.000 0.000 0.500
Pb1 0.500 0.500 0.500

=====

Record 2
# GGA-PBEsol EuSi2Au2, optimized geometry
# ΔE_f (raw), eV per atom: -0.631
# DOS(E_F), states/eV per cell: 9.973
# Magnetization, μB per cell: 6.8
# Crystal system: tetragonal
# Final energy, eV for the cell shown: -33.1
data_EuSi2Au2
_chemical_formula_sum 'Eu1 Si2 Au2'
_cell_length_a 5.889
_cell_length_b 5.889
_cell_length_c 5.889
_cell_angle_alpha 137.22
_cell_angle_beta 137.22
_cell_angle_gamma 62.10
_symmetry_space_group_name_H-M 'P 1'
_symmetry_Int_Tables_number 1
loop_
_symmetry_equiv_pos_as_xyz
'x,y,z'
loop_
_atom_site_label
_atom_site_fract_x
_atom_site_fract_y
_atom_site_fract_z
Eu1 0.000 0.000 0.000
Si1 0.385 0.385 0.000
Si2 0.615 0.615 0.000
Au1 0.250 0.750 0.500
Au2 0.750 0.250 0.500

=====

Record 3
# GGA-PBEsol Tl2TeMo2P2O14, optimized geometry
# ΔE_f (raw), eV per atom: -1.797
# DOS(E_F), states/eV per cell: 0.000
# Magnetization, μB per cell: 0.0
# Crystal system: orthorhombic
# Final energy, eV for the cell shown: -620.6
data_Tl2TeMo2P2O14
_chemical_formula_sum 'Tl8 Te4 Mo8 P8 O56'
_cell_length_a 12.537
_cell_length_b 8.837
_cell_length_c 11.257
_cell_angle_alpha 90.00
_cell_angle_beta 90.00
_cell_angle_gamma 90.00
_symmetry_space_group_name_H-M 'P 1'
_symmetry_Int_Tables_number 1
loop_
_symmetry_equiv_pos_as_xyz
'x,y,z'
loop_
_atom_site_label
_atom_site_fract_x
_atom_site_fract_y
_atom_site_fract_z
Tl1 0.190 0.022 0.228
Tl2 0.190 0.978 0.728
Tl3 0.310 0.478 0.728
Tl4 0.310 0.522 0.228
Tl5 0.690 0.478 0.772
Tl6 0.690 0.522 0.272
Tl7 0.810 0.022 0.272
Tl8 0.810 0.978 0.772
Te1 0.000 0.372 0.750
Te2 0.000 0.628 0.250
Te3 0.500 0.128 0.250
Te4 0.500 0.872 0.750
Mo1 0.122 0.242 0.482
Mo2 0.122 0.758 0.982
Mo3 0.378 0.258 0.982
Mo4 0.378 0.742 0.482
Mo5 0.622 0.258 0.518
Mo6 0.622 0.742 0.018
Mo7 0.878 0.242 0.018
Mo8 0.878 0.758 0.518
P1 0.130 0.358 0.006
P2 0.130 0.642 0.506
P3 0.370 0.142 0.506
P4 0.370 0.858 0.006
P5 0.630 0.142 0.994
P6 0.630 0.858 0.494
P7 0.870 0.358 0.494
P8 0.870 0.642 0.994
O1 0.030 0.278 0.056
O2 0.030 0.722 0.556
O3 0.072 0.227 0.656
O4 0.072 0.773 0.156
O5 0.121 0.052 0.457
O6 0.121 0.948 0.957
O7 0.131 0.351 0.869
O8 0.131 0.478 0.553
O9 0.131 0.522 0.053
O10 0.131 0.649 0.369
O11 0.165 0.312 0.348
O12 0.165 0.688 0.848
O13 0.229 0.271 0.053
O14 0.229 0.729 0.553
O15 0.271 0.229 0.553
O16 0.271 0.771 0.053
O17 0.335 0.188 0.848
O18 0.335 0.812 0.348
O19 0.369 0.022 0.053
O20 0.369 0.149 0.369
O21 0.369 0.851 0.869
O22 0.369 0.978 0.553
O23 0.379 0.448 0.957
O24 0.379 0.552 0.457
O25 0.428 0.273 0.156
O26 0.428 0.727 0.656
O27 0.470 0.222 0.556
O28 0.470 0.778 0.056
O29 0.530 0.222 0.944
O30 0.530 0.778 0.444
O31 0.572 0.273 0.344
O32 0.572 0.727 0.844
O33 0.621 0.448 0.543
O34 0.621 0.552 0.043
O35 0.631 0.022 0.447
O36 0.631 0.149 0.131
O37 0.631 0.851 0.631
O38 0.631 0.978 0.947
O39 0.665 0.188 0.652
O40 0.665 0.812 0.152
O41 0.729 0.229 0.947
O42 0.729 0.771 0.447
O43 0.771 0.271 0.447
O44 0.771 0.729 0.947
O45 0.835 0.312 0.152
O46 0.835 0.688 0.652
O47 0.869 0.351 0.631
O48 0.869 0.478 0.947
O49 0.869 0.522 0.447
O50 0.869 0.649 0.131
O51 0.879 0.052 0.043
O52 0.879 0.948 0.543
O53 0.928 0.227 0.844
O54 0.928 0.773 0.344
O55 0.970 0.278 0.444
O56 0.970 0.722 0.944

=====

Record 4
# GGA-PBEsol Sc2TcPd, optimized geometry
# DOS(E_F), states/eV per cell: 2.399
# Magnetization, μB per cell: 0.0
# Crystal system: cubic
# Final energy, eV for the cell shown: -32.5
data_Sc2TcPd
_chemical_formula_sum 'Sc2 Tc1 Pd1'
_cell_length_a 4.540
_cell_length_b 4.540
_cell_length_c 4.540
_cell_angle_alpha 60.00
_cell_angle_beta 60.00
_cell_angle_gamma 60.00
_symmetry_space_group_name_H-M 'P 1'
_symmetry_Int_Tables_number 1
loop_
_symmetry_equiv_pos_as_xyz
'x,y,z'
loop_
_atom_site_label
_atom_site_fract_x
_atom_site_fract_y
_atom_site_fract_z
Sc1 0.250 0.250 0.250
Sc2 0.750 0.750 0.750
Tc1 0.000 0.000 0.000
Pd1 0.500 0.500 0.500